(1)
! CaMg2Tl8 GGA-PBE relaxed; values from VASP
! ΔE to the lowest computed polymorph   0 meV/atom
! Formation energy   -78 meV per atom
! Energy   -24.979 eV/f.u.
! V   309.65 Å³/f.u.
! Density   9244 kg/m3
&SYSTEM
  ibrav = 0, nat = 11, ntyp = 3
/
ATOMIC_SPECIES
Ca 40.08 Ca.upf
Mg 24.30 Mg.upf
Tl 204.38 Tl.upf
CELL_PARAMETERS angstrom
8.7039 -2.3887 0.0000
8.7039 2.3887 0.0000
-2.3319 0.0000 7.4466
ATOMIC_POSITIONS crystal
Ca 0.0000 0.0000 0.0000
Mg 0.2703 0.2703 0.3592
Mg 0.7297 0.7297 0.6408
Tl 0.0995 0.0995 0.4689
Tl 0.1841 0.1841 0.9173
Tl 0.3555 0.3555 0.7975
Tl 0.4498 0.4498 0.2714
Tl 0.5502 0.5502 0.7286
Tl 0.6445 0.6445 0.2025
Tl 0.8159 0.8159 0.0827
Tl 0.9005 0.9005 0.5311


(2)
! Ce3InSn GGA-PBE relaxed; values from VASP
! Formation energy   53 meV per atom
! Energy   -24.277 eV/f.u.
! V   153.72 Å³/f.u.
! Density   7064 kg/m3
&SYSTEM
  ibrav = 0, nat = 10, ntyp = 3
/
ATOMIC_SPECIES
Ce 140.12 Ce.upf
In 114.82 In.upf
Sn 118.71 Sn.upf
CELL_PARAMETERS angstrom
-2.8330 5.2950 5.1237
2.8330 -5.2950 5.1237
2.8330 5.2950 -5.1237
ATOMIC_POSITIONS crystal
Ce 0.1913 0.1879 0.0034
Ce 0.3155 0.8121 0.5034
Ce 0.5000 0.0000 0.0000
Ce 0.5000 0.5000 0.5000
Ce 0.6845 0.1879 0.4966
Ce 0.8087 0.8121 0.9966
In 0.2139 0.9639 0.2500
In 0.7861 0.0361 0.7500
Sn 0.0000 0.5000 0.5000
Sn 0.5000 0.5000 0.0000


(3)
! Cu2OF GGA-PBE relaxed; values from VASP
! Energy relative to the elements, uncorrected   -0.64 eV per atom
! ΔE to the lowest computed polymorph   129 meV/atom
! Energy   -17.586 eV/f.u.
! V   43.05 Å³/f.u.
! Density   6252 kg/m3
&SYSTEM
  ibrav = 0, nat = 4, ntyp = 3
/
ATOMIC_SPECIES
Cu 63.55 Cu.upf
O 16.00 O.upf
F 19.00 F.upf
CELL_PARAMETERS angstrom
1.5208 0.8780 5.3741
-1.5208 0.8780 5.3741
0.0000 -1.7560 5.3741
ATOMIC_POSITIONS crystal
Cu 0.0000 0.0000 0.0000
Cu 0.1918 0.1918 0.1918
O 0.5944 0.5944 0.5944
F 0.7699 0.7699 0.7699


(4)
! Cs2BaSrH6 GGA-PBE relaxed; values from VASP
! Energy   -28.807 eV/f.u.
! V   250.85 Å³/f.u.
! Density   3289 kg/m3
&SYSTEM
  ibrav = 0, nat = 20, ntyp = 4
/
ATOMIC_SPECIES
Cs 132.91 Cs.upf
Ba 137.33 Ba.upf
Sr 87.62 Sr.upf
H 1.01 H.upf
CELL_PARAMETERS angstrom
7.0611 0.0000 0.0000
0.0000 9.9677 0.0000
0.0000 0.0000 7.1281
ATOMIC_POSITIONS crystal
Cs 0.2500 0.0024 0.2340
Cs 0.2500 0.4976 0.2340
Cs 0.7500 0.5024 0.7660
Cs 0.7500 0.9976 0.7660
Ba 0.2500 0.2500 0.7402
Ba 0.7500 0.7500 0.2598
Sr 0.2500 0.7500 0.7572
Sr 0.7500 0.2500 0.2428
H 0.0049 0.7500 0.5204
H 0.0095 0.7500 0.0010
H 0.2500 0.5078 0.7773
H 0.2500 0.9922 0.7773
H 0.4905 0.7500 0.0010
H 0.4951 0.7500 0.5204
H 0.5049 0.2500 0.4796
H 0.5095 0.2500 0.9990
H 0.7500 0.0078 0.2227
H 0.7500 0.4922 0.2227
H 0.9905 0.2500 0.9990
H 0.9951 0.2500 0.4796